# 1
Material: Ni2Ru
Method: DFT, PBE-GGA
State: optimized geometry

## Properties
N(E_F) in states/eV per atom: 1.676
ΔH_f (0 K) in eV per atom: 0.20
Size of the total moment in μB per formula unit: 0.1
Total DFT energy (no corrections) in eV for the cell shown: -20.25

a b c (Å): 3.000 4.516 3.000
angles (deg): 70.60 90.00 109.40
Element x y z (fractional)
Ni: 0.326 0.652 0.674
Ni: 0.674 0.348 0.326
Ru: 0.000 0.000 0.000

---

# 2
Material: Ni4Ru
Method: DFT, PBE-GGA
State: optimized geometry

## Properties
N(E_F) in states/eV per atom: 1.787
ΔH_f (0 K) in eV per atom: 0.10
Polymorph energy (0 for the lowest one) in meV per atom: 40
Size of the total moment in μB per formula unit: 2.1
Total DFT energy (no corrections) in eV for the cell shown: -31.88

a b c (Å): 10.371 10.371 10.371
angles (deg): 14.21 14.21 14.21
Element x y z (fractional)
Ni: 0.598 0.598 0.598
Ni: 0.199 0.199 0.199
Ni: 0.402 0.402 0.402
Ni: 0.801 0.801 0.801
Ru: 0.000 0.000 0.000

---

# 3
Material: Ni2Ru
Method: DFT, PBE-GGA
State: optimized geometry

## Properties
N(E_F) in states/eV per atom: 1.752
ΔH_f (0 K) in eV per atom: 0.09
Size of the total moment in μB per formula unit: 0.2
Total DFT energy (no corrections) in eV for the cell shown: -82.27

a b c (Å): 4.433 7.710 4.469
angles (deg): 90.00 109.73 90.00
Element x y z (fractional)
Ru: 0.500 0.666 0.500
Ru: 0.500 0.166 0.000
Ru: 0.500 0.834 0.000
Ru: 0.500 0.334 0.500
Ni: 0.000 0.334 0.000
Ni: 0.500 0.500 0.000
Ni: 0.000 0.000 0.000
Ni: 0.500 0.000 0.500
Ni: 0.000 0.500 0.500
Ni: 0.000 0.166 0.500
Ni: 0.000 0.666 0.000
Ni: 0.000 0.834 0.500

---

# 4
Material: NiRu
Method: DFT, PBE-GGA
State: optimized geometry

## Properties
N(E_F) in states/eV per atom: 1.115
ΔH_f (0 K) in eV per atom: 0.09
Size of the total moment in μB per formula unit: 0.0
Total DFT energy (no corrections) in eV for the cell shown: -29.74

a b c (Å): 2.636 4.528 4.448
angles (deg): 99.91 90.00 106.92
Element x y z (fractional)
Ru: 0.501 0.001 0.495
Ru: 0.749 0.499 0.255
Ni: 0.252 0.503 0.762
Ni: 0.998 0.997 0.988

---

# 5
Material: NiRu
Method: DFT, PBE-GGA
State: optimized geometry

## Properties
N(E_F) in states/eV per atom: 1.660
ΔH_f (0 K) in eV per atom: 0.14
Size of the total moment in μB per formula unit: 0.1
Total DFT energy (no corrections) in eV for the cell shown: -29.57

a b c (Å): 2.645 8.505 2.645
angles (deg): 90.00 120.00 98.95
Element x y z (fractional)
Ru: 0.497 0.246 0.749
Ru: 0.003 0.504 0.501
Ni: 0.504 0.756 0.252
Ni: 0.996 0.994 0.998

---

# 6
Material: Ni3Ru
Method: DFT, PBE-GGA
State: optimized geometry

## Properties
N(E_F) in states/eV per atom: 2.188
ΔH_f (0 K) in eV per atom: 0.12
Size of the total moment in μB per formula unit: 2.1
Total DFT energy (no corrections) in eV for the cell shown: -26.13

a b c (Å): 4.437 4.878 2.565
angles (deg): 74.76 90.00 117.05
Element x y z (fractional)
Ni: 0.084 0.500 0.250
Ni: 0.999 0.003 0.999
Ni: 0.496 0.997 0.501
Ru: 0.587 0.500 0.750

---

# 7
Material: Ni2Ru
Method: DFT, PBE-GGA
State: optimized geometry

## Properties
N(E_F) in states/eV per atom: 1.803
ΔH_f (0 K) in eV per atom: 0.10
Size of the total moment in μB per formula unit: 0.0
Total DFT energy (no corrections) in eV for the cell shown: -82.13

a b c (Å): 7.746 4.413 4.188
angles (deg): 90.00 90.00 90.00
Element x y z (fractional)
Ni: 0.669 0.663 0.750
Ni: 0.831 0.837 0.250
Ni: 0.169 0.163 0.750
Ni: 0.331 0.337 0.250
Ni: 0.169 0.837 0.250
Ni: 0.669 0.337 0.250
Ni: 0.831 0.163 0.750
Ni: 0.331 0.663 0.750
Ru: 0.000 0.668 0.750
Ru: 0.000 0.332 0.250
Ru: 0.500 0.832 0.250
Ru: 0.500 0.168 0.750

---

# 8
Material: Ni2Ru
Method: DFT, PBE-GGA
State: optimized geometry

## Properties
N(E_F) in states/eV per atom: 1.485
ΔH_f (0 K) in eV per atom: 0.11
Size of the total moment in μB per formula unit: 0.0
Total DFT energy (no corrections) in eV for the cell shown: -82.02

a b c (Å): 5.138 3.624 7.709
angles (deg): 90.00 90.00 90.00
Element x y z (fractional)
Ni: 0.880 0.750 0.414
Ni: 0.120 0.250 0.586
Ni: 0.875 0.750 0.750
Ni: 0.375 0.750 0.750
Ni: 0.620 0.250 0.914
Ni: 0.625 0.250 0.250
Ni: 0.380 0.750 0.086
Ni: 0.125 0.250 0.250
Ru: 0.625 0.250 0.578
Ru: 0.375 0.750 0.422
Ru: 0.125 0.250 0.922
Ru: 0.875 0.750 0.078

---

# 9
Material: NiRu4
Method: DFT, PBE-GGA
State: optimized geometry

## Properties
N(E_F) in states/eV per atom: 1.571
ΔH_f (0 K) in eV per atom: 1.68
Polymorph energy (0 for the lowest one) in meV per atom: 1564
Size of the total moment in μB per formula unit: 0.9
Total DFT energy (no corrections) in eV for the cell shown: -34.50

a b c (Å): 4.348 4.348 4.348
angles (deg): 90.00 90.00 90.00
Element x y z (fractional)
Ru: 0.000 0.000 0.000
Ru: 0.500 0.500 0.000
Ru: 0.000 0.500 0.500
Ru: 0.500 0.000 0.500
Ni: 0.500 0.500 0.500

---

# 10
Material: Ni3Ru
Method: DFT, PBE-GGA
State: optimized geometry

## Properties
N(E_F) in states/eV per atom: 1.431
ΔH_f (0 K) in eV per atom: 0.22
Size of the total moment in μB per formula unit: 2.6
Total DFT energy (no corrections) in eV for the cell shown: -25.74

a b c (Å): 4.274 4.274 2.625
angles (deg): 90.00 90.00 90.00
Element x y z (fractional)
Ni: 0.500 0.500 0.000
Ni: 0.500 0.000 0.500
Ni: 0.000 0.000 0.000
Ru: 0.000 0.500 0.500

---

# 11
Material: Ni2Ru
Method: DFT, PBE-GGA
State: optimized geometry

## Properties
N(E_F) in states/eV per atom: 1.732
ΔH_f (0 K) in eV per atom: 1.02
Size of the total moment in μB per formula unit: 0.0
Total DFT energy (no corrections) in eV for the cell shown: -71.17

a b c (Å): 5.622 5.622 5.622
angles (deg): 90.00 90.00 90.00
Element x y z (fractional)
Ni: 0.883 0.383 0.117
Ni: 0.883 0.117 0.617
Ni: 0.117 0.883 0.383
Ni: 0.383 0.383 0.383
Ni: 0.617 0.617 0.617
Ni: 0.117 0.617 0.883
Ni: 0.383 0.117 0.883
Ni: 0.617 0.883 0.117
Ru: 0.500 0.500 0.000
Ru: 0.000 0.500 0.500
Ru: 0.000 0.000 0.000
Ru: 0.500 0.000 0.500

---

# 12
Material: NiRu
Method: DFT, PBE-GGA
State: optimized geometry

## Properties
N(E_F) in states/eV per atom: 1.292
ΔH_f (0 K) in eV per atom: 0.33
Size of the total moment in μB per formula unit: 1.2
Total DFT energy (no corrections) in eV for the cell shown: -28.81

a b c (Å): 4.175 4.175 4.175
angles (deg): 60.00 60.00 60.00
Element x y z (fractional)
Ni: 0.250 0.250 0.250
Ni: 0.000 0.000 0.000
Ru: 0.500 0.500 0.500
Ru: 0.750 0.750 0.750